Here is Nd2ThSb3 after structural relaxation from Alexandria. Energies are from PBE.

Unit cell a=6.396 b=9.024 c=13.558 alpha=90.00 beta=90.00 gamma=90.00
Fractional coordinates of all 24 atoms:
Th 0.750 0.125 0.916
Nd 0.251 0.375 0.751
Sb 0.249 0.625 0.250
Sb 0.750 0.373 0.083
Nd 0.250 0.876 0.417
Sb 0.250 0.627 0.917
Nd 0.750 0.624 0.917
Th 0.250 0.875 0.084
Nd 0.250 0.376 0.083
Sb 0.250 0.624 0.583
Th 0.250 0.375 0.416
Sb 0.750 0.876 0.083
Sb 0.250 0.124 0.917
Nd 0.749 0.625 0.249
Nd 0.251 0.875 0.749
Th 0.750 0.625 0.584
Sb 0.751 0.875 0.750
Sb 0.751 0.375 0.750
Nd 0.749 0.125 0.251
Sb 0.249 0.125 0.250
Nd 0.750 0.124 0.583
Sb 0.750 0.873 0.417
Sb 0.250 0.127 0.583
Sb 0.750 0.376 0.417

Calculated values
N(E_F)   8.1 states/eV/cell
Symmetry   P2_1/c
Uncorrected energy   -6.00 eV per atom